A relaxed YReRu2 crystal, computed with PBE-GGA.

```
data_YReRu2
_cell_length_a 3.022
_cell_length_b 3.015
_cell_length_c 7.518
_cell_angle_alpha 90.00
_cell_angle_beta 90.09
_cell_angle_gamma 90.00
_space_group_name_H-M_alt 'P 1 2/m 1'
_space_group_IT_number 10
loop_
_space_group_symop_operation_xyz
'x,y,z'
'-x,-y,-z'
'-x,y,-z'
'x,-y,z'
loop_
_atom_site_label
_atom_site_type_symbol
_atom_site_fract_x
_atom_site_fract_y
_atom_site_fract_z
Y1 Y 0.000 0.000 0.000
Re1 Re 0.000 0.000 0.500
Ru1 Ru 0.499 0.500 0.291
```

For the density, the calculation gives 11.57 Mg/m³. For the relative energy among the computed polymorphs, the calculation gives 0 meV per atom. As for the formation energy: 0.05 eV per atom. The calculation puts the raw total energy at -37.26 eV for the cell shown. The total magnetization comes out at 0.0 μB per formula unit.